# HfAl2Ag2 | Alexandria | PBE | relaxed
# Uncorrected energy ... -4.675 eV per atom
# Energy above the lowest structure with this stoichiometry ... 0.0 kJ/mol of atoms
# Calculated formation energy ... -0.23 eV/f.u.
data_HfAl2Ag2
_cell_length_a 7.892
_cell_length_b 7.892
_cell_length_c 2.860
_cell_angle_alpha 90.00
_cell_angle_beta 90.00
_cell_angle_gamma 90.00
_symmetry_space_group_name_H-M 'P 4/m b m'
_symmetry_Int_Tables_number 127
_symmetry_space_group_name_Hall '-P 4 2ab'
loop_
_atom_site_label
_atom_site_type_symbol
_atom_site_fract_x
_atom_site_fract_y
_atom_site_fract_z
Hf1 Hf 0.000 0.000 0.000
Al1 Al 0.173 0.327 0.500
Ag1 Ag 0.126 0.626 0.000

# CoSn2Te | Alexandria | PBE | relaxed
# Uncorrected energy ... -4.325 eV per atom
# E_form (uncorrected) ... 0.24 eV per atom
data_CoSn2Te
_cell_length_a 6.220
_cell_length_b 6.220
_cell_length_c 12.575
_cell_angle_alpha 90.00
_cell_angle_beta 90.00
_cell_angle_gamma 90.00
_symmetry_space_group_name_H-M 'I -4 2 d'
_symmetry_Int_Tables_number 122
_symmetry_space_group_name_Hall 'I -4 2bw'
loop_
_atom_site_label
_atom_site_type_symbol
_atom_site_fract_x
_atom_site_fract_y
_atom_site_fract_z
Co1 Co 0.000 0.000 0.000
Sn1 Sn 0.169 0.250 0.125
Te1 Te 0.000 0.000 0.500

# Ti2AsPPt | Alexandria | PBE | relaxed
# Uncorrected energy ... -5.870 eV per atom
# Calculated formation energy ... 2.54 eV/f.u.
data_Ti2AsPPt
_cell_length_a 4.673
_cell_length_b 4.673
_cell_length_c 4.532
_cell_angle_alpha 90.00
_cell_angle_beta 90.00
_cell_angle_gamma 90.00
_symmetry_space_group_name_H-M 'P 4/m m m'
_symmetry_Int_Tables_number 123
_symmetry_space_group_name_Hall '-P 4 2'
loop_
_atom_site_label
_atom_site_type_symbol
_atom_site_fract_x
_atom_site_fract_y
_atom_site_fract_z
Ti1 Ti 0.000 0.500 0.000
As1 As 0.000 0.000 0.000
P1 P 0.000 0.000 0.500
Pt1 Pt 0.500 0.500 0.500

# PaTi2MnC4 | Alexandria | PBE | relaxed
# Uncorrected energy ... -9.340 eV per atom
# Calculated formation energy ... -3.37 eV/f.u.
data_PaTi2MnC4
_cell_length_a 3.203
_cell_length_b 10.963
_cell_length_c 10.544
_cell_angle_alpha 90.00
_cell_angle_beta 90.00
_cell_angle_gamma 90.00
_symmetry_space_group_name_H-M 'C m c m'
_symmetry_Int_Tables_number 63
_symmetry_space_group_name_Hall '-C 2c 2'
loop_
_atom_site_label
_atom_site_type_symbol
_atom_site_fract_x
_atom_site_fract_y
_atom_site_fract_z
Pa1 Pa 0.000 0.100 0.250
Ti1 Ti 0.000 0.371 0.044
Mn1 Mn 0.000 0.162 0.750
C1 C 0.000 0.000 0.000
C2 C 0.000 0.266 0.618
C3 C 0.000 0.430 0.250

# LaCd2Co | Alexandria | PBE | relaxed
# Uncorrected energy ... -3.378 eV per atom
# Calculated formation energy ... 0.35 eV/f.u.
data_LaCd2Co
_cell_length_a 3.283
_cell_length_b 3.415
_cell_length_c 7.759
_cell_angle_alpha 90.00
_cell_angle_beta 90.00
_cell_angle_gamma 90.00
_symmetry_space_group_name_H-M 'P m m m'
_symmetry_Int_Tables_number 47
loop_
_symmetry_equiv_pos_as_xyz
'x,y,z'
'-x,-y,-z'
'-x,-y,z'
'x,y,-z'
'x,-y,-z'
'-x,y,z'
'-x,y,-z'
'x,-y,z'
loop_
_atom_site_label
_atom_site_type_symbol
_atom_site_fract_x
_atom_site_fract_y
_atom_site_fract_z
La1 La 0.000 0.000 0.000
Cd1 Cd 0.500 0.500 0.313
Co1 Co 0.000 0.000 0.500

# Co2GeBr | Alexandria | PBE | relaxed
# Uncorrected energy ... -4.654 eV per atom
# E_form (uncorrected) ... 0.47 eV per atom
# Energy above the lowest structure with this stoichiometry ... 0.0 kJ/mol of atoms
data_Co2GeBr
_cell_length_a 5.320
_cell_length_b 5.320
_cell_length_c 10.817
_cell_angle_alpha 90.00
_cell_angle_beta 90.00
_cell_angle_gamma 90.00
_symmetry_space_group_name_H-M 'I -4 2 d'
_symmetry_Int_Tables_number 122
_symmetry_space_group_name_Hall 'I -4 2bw'
loop_
_atom_site_label
_atom_site_type_symbol
_atom_site_fract_x
_atom_site_fract_y
_atom_site_fract_z
Co1 Co 0.242 0.250 0.125
Ge1 Ge 0.000 0.000 0.000
Br1 Br 0.000 0.000 0.500

# LaMo | Alexandria | PBE | relaxed
# Uncorrected energy ... -7.460 eV per atom
# Energy above the lowest structure with this stoichiometry ... 17.2 kJ/mol of atoms
# Calculated formation energy ... 0.84 eV/f.u.
data_LaMo
_cell_length_a 12.759
_cell_length_b 3.488
_cell_length_c 7.114
_cell_angle_alpha 90.00
_cell_angle_beta 106.34
_cell_angle_gamma 90.00
_symmetry_space_group_name_H-M 'C 1 m 1'
_symmetry_Int_Tables_number 8
loop_
_symmetry_equiv_pos_as_xyz
'x,y,z'
'x,-y,z'
'x+1/2,y+1/2,z'
'x+1/2,-y+1/2,z'
loop_
_atom_site_label
_atom_site_type_symbol
_atom_site_fract_x
_atom_site_fract_y
_atom_site_fract_z
La1 La 0.000 0.000 0.000
La2 La 0.013 0.000 0.524
La3 La 0.224 0.500 0.886
Mo1 Mo 0.173 0.500 0.318
Mo2 Mo 0.291 0.000 0.531
Mo3 Mo 0.345 0.000 0.237

# HoPd4Au3 | Alexandria | PBE | relaxed
# Uncorrected energy ... -4.877 eV per atom
# Energy above the lowest structure with this stoichiometry ... 0.0 kJ/mol of atoms
# Calculated formation energy ... -3.84 eV/f.u.
data_HoPd4Au3
_cell_length_a 9.406
_cell_length_b 6.026
_cell_length_c 4.928
_cell_angle_alpha 90.00
_cell_angle_beta 90.00
_cell_angle_gamma 90.00
_symmetry_space_group_name_H-M 'P m m a'
_symmetry_Int_Tables_number 51
loop_
_symmetry_equiv_pos_as_xyz
'x,y,z'
'-x,-y,-z'
'-x+1/2,-y,z'
'x+1/2,y,-z'
'x+1/2,-y,-z'
'-x+1/2,y,z'
'-x,y,-z'
'x,-y,z'
loop_
_atom_site_label
_atom_site_type_symbol
_atom_site_fract_x
_atom_site_fract_y
_atom_site_fract_z
Ho1 Ho 0.000 0.000 0.000
Pd1 Pd 0.000 0.253 0.500
Pd2 Pd 0.250 0.258 0.140
Au1 Au 0.000 0.500 0.000
Au2 Au 0.250 0.000 0.612
Au3 Au 0.250 0.500 0.643

> Look up the uncorrected energy of the seventh one.

-7.460 eV per atom